Record 1
# Li2SmSi2 PBE optimized geometry
# Formation energy (no corrections), meV per atom: -481
# Electronic total energy, eV/cell: -43.60
# Energy above the most stable polymorph in this dataset, meV per atom: 0.0
# N(E_F), states/eV/atom: 0.3989
data_Li2SmSi2
_space_group_name_H-M_alt 'I 4/m m m'
_space_group_IT_number 139
_space_group_name_Hall '-I 4 2'
_cell_length_a 4.077
_cell_length_b 4.077
_cell_length_c 11.201
_cell_angle_alpha 90.00
_cell_angle_beta 90.00
_cell_angle_gamma 90.00
loop_
_atom_site_label
_atom_site_type_symbol
_atom_site_fract_x
_atom_site_fract_y
_atom_site_fract_z
_atom_site_occupancy
Li1 Li 0.000 0.500 0.250 1
Sm1 Sm 0.000 0.000 0.000 1
Si1 Si 0.000 0.000 0.396 1

Record 2
# LiPaBr6 PBE optimized geometry
# Formation energy (no corrections), meV per atom: -1436
# Electronic total energy, eV/cell: -32.93
# Energy above the most stable polymorph in this dataset, meV per atom: 17.0
# N(E_F), states/eV/atom: 0.0000
data_LiPaBr6
_space_group_name_H-M_alt 'P -1'
_space_group_IT_number 2
_space_group_name_Hall '-P 1'
_cell_length_a 7.108
_cell_length_b 7.109
_cell_length_c 7.558
_cell_angle_alpha 118.01
_cell_angle_beta 90.05
_cell_angle_gamma 119.97
loop_
_atom_site_label
_atom_site_type_symbol
_atom_site_fract_x
_atom_site_fract_y
_atom_site_fract_z
_atom_site_occupancy
Li1 Li 0.000 0.000 0.000 1
Pa1 Pa 0.500 0.000 0.500 1
Br1 Br 0.119 0.861 0.252 1
Br2 Br 0.258 0.867 0.748 1
Br3 Br 0.391 0.510 0.252 1

Record 3
# RhW2Au PBE optimized geometry
# Electronic total energy, eV/cell: -35.87
# Energy above the most stable polymorph in this dataset, meV per atom: 55.9
# N(E_F), states/eV/atom: 0.9449
data_RhW2Au
_space_group_name_H-M_alt 'P 4/m m m'
_space_group_IT_number 123
_space_group_name_Hall '-P 4 2'
_cell_length_a 2.772
_cell_length_b 2.772
_cell_length_c 8.256
_cell_angle_alpha 90.00
_cell_angle_beta 90.00
_cell_angle_gamma 90.00
loop_
_atom_site_label
_atom_site_type_symbol
_atom_site_fract_x
_atom_site_fract_y
_atom_site_fract_z
_atom_site_occupancy
Rh1 Rh 0.000 0.000 0.000 1
W1 W 0.500 0.500 0.236 1
Au1 Au 0.000 0.000 0.500 1